Computed, not measured: a geometry-optimized CoPd2Br structure at the PBE level of DFT.

abc: 4.519 4.519 4.519
angles: 60.00 60.00 60.00
Last column: magnetic moment on the atom in μB.
Fractional positions:
Pd  0.750  0.750  0.750  0.29
Pd  0.250  0.250  0.250  0.29
Co  0.000  0.000  0.000  2.11
Br  0.500  0.500  0.500  0.11

Summary:
The value obtained for the spin magnetization is 2.8 Bohr magnetons per cell. Its symmetry is No. 225. The uncorrected formation energy is 0.520 eV per atom. For the offset from the most stable computed form, the calculation gives 0.015 eV per atom. The calculated density is 8.9 g/cm3. The energy comes out at -0.314 Ry/atom.


Computed, not measured: a geometry-optimized Co2PdBr6 structure at the PBE level of DFT.

abc: 7.372 8.396 8.396
angles: 82.93 87.18 87.18
Last column: magnetic moment on the atom in μB.
Fractional positions:
Pd  0.750  0.903  0.097  0.04
Br  0.905  0.544  0.708  0.19
Br  0.161  0.806  0.954  0.12
Br  0.858  0.878  0.377  0.11
Br  0.405  0.708  0.544  0.19
Br  0.339  0.046  0.194  0.12
Br  0.142  0.122  0.623  0.11
Br  0.642  0.623  0.122  0.11
Br  0.839  0.194  0.046  0.12
Co  0.796  0.381  0.234  2.34
Br  0.595  0.292  0.456  0.19
Co  0.704  0.766  0.619  2.34
Co  0.204  0.619  0.766  2.34
Br  0.095  0.456  0.292  0.19
Co  0.296  0.234  0.381  2.34
Pd  0.250  0.097  0.903  0.04
Br  0.358  0.377  0.878  0.11
Br  0.661  0.954  0.806  0.12

Summary:
The value obtained for the spin magnetization is 12.1 Bohr magnetons per cell. Its symmetry is No. 15. The uncorrected formation energy is -0.246 eV per atom. For the offset from the most stable computed form, the calculation gives 0.000 eV per atom. The calculated density is 4.5 g/cm3. The energy comes out at -0.259 Ry/atom.


- What is the uncorrected formation energy in the first record?
  0.520 eV per atom


- What is the formula in the second record?
  Co2PdBr6


- Number 2 is which compound?
  Co2PdBr6